No. 1
This record from Alexandria via LeMat-Bulk describes Ti3Fe2NiP6O24 at its PBEsol-relaxed geometry. The functional is meta-GGA SCAN.

Calculated values
Total magnetic moment: 10.00 μB/f.u.
Formation energy (no corrections): -2528 meV/atom
Raw total energy: -11.208 eV/atom
Mass density: 3.419 g/cm³
Space group: R3, No. 146

```
Ti3Fe2NiP6O24
1.0
4.3002 2.4827 6.7000
-4.3002 2.4827 6.7000
0.0000 -4.9655 6.7000
Ti Fe Ni P O
3 2 1 6 24
Direct
0.0000 0.0000 0.0000
0.2193 0.2193 0.2193
0.7169 0.7169 0.7169
0.3582 0.3582 0.3582
0.8600 0.8600 0.8600
0.4971 0.4971 0.4971
0.1100 0.8146 0.4016
0.3160 0.6065 0.8953
0.4016 0.1100 0.8146
0.6064 0.8953 0.3160
0.8146 0.4016 0.1100
0.8953 0.3160 0.6064
0.0264 0.8724 0.2453
0.0981 0.3058 0.4506
0.1152 0.7652 0.9238
0.1798 0.9766 0.3567
0.2453 0.0264 0.8724
0.2624 0.6174 0.4059
0.3058 0.4506 0.0981
0.3456 0.5404 0.7428
0.3567 0.1798 0.9766
0.4059 0.2624 0.6174
0.4506 0.0981 0.3058
0.4774 0.6789 0.8507
0.5404 0.7428 0.3456
0.6014 0.9514 0.8024
0.6174 0.4059 0.2624
0.6789 0.8507 0.4774
0.7428 0.3456 0.5404
0.7652 0.9238 0.1152
0.8024 0.6014 0.9514
0.8507 0.4774 0.6789
0.8724 0.2453 0.0264
0.9238 0.1152 0.7652
0.9514 0.8024 0.6014
0.9766 0.3567 0.1798
```

---

No. 2
This record from Alexandria via LeMat-Bulk describes V3FeNi2P6O24 at its PBEsol-relaxed geometry. The functional is meta-GGA SCAN.

Calculated values
Total magnetic moment: 12.95 μB/f.u.
Formation energy (no corrections): -2342 meV/atom
Density of states at the Fermi level: 7.84 states/eV/f.u.
Raw total energy: -11.089 eV/atom
Mass density: 3.535 g/cm³
Space group: R3, No. 146

```
V3FeNi2P6O24
1.0
4.2508 2.4542 6.7236
-4.2508 2.4542 6.7236
0.0000 -4.9084 6.7236
V Fe Ni P O
3 1 2 6 24
Direct
0.0000 0.0000 0.0000
0.2176 0.2176 0.2176
0.7177 0.7177 0.7177
0.5005 0.5005 0.5005
0.3592 0.3592 0.3592
0.8594 0.8594 0.8594
0.1075 0.8158 0.4005
0.3153 0.6070 0.9028
0.4005 0.1075 0.8158
0.6070 0.9028 0.3153
0.8158 0.4005 0.1075
0.9028 0.3153 0.6070
0.0297 0.8693 0.2411
0.1044 0.3015 0.4463
0.1143 0.7695 0.9227
0.1736 0.9798 0.3576
0.2411 0.0297 0.8693
0.2666 0.6186 0.4064
0.3015 0.4463 0.1044
0.3501 0.5388 0.7470
0.3576 0.1736 0.9798
0.4064 0.2666 0.6186
0.4463 0.1044 0.3015
0.4781 0.6749 0.8597
0.5388 0.7470 0.3501
0.6018 0.9467 0.8008
0.6186 0.4064 0.2666
0.6749 0.8597 0.4781
0.7470 0.3501 0.5388
0.7695 0.9227 0.1143
0.8008 0.6018 0.9467
0.8597 0.4781 0.6749
0.8693 0.2411 0.0297
0.9227 0.1143 0.7695
0.9467 0.8008 0.6018
0.9798 0.3576 0.1736
```

---

No. 3
This record from Alexandria via LeMat-Bulk describes V3Fe2NiP6O24 at its PBEsol-relaxed geometry. The functional is meta-GGA SCAN.

Calculated values
Total magnetic moment: 13.86 μB/f.u.
Formation energy (no corrections): -2326 meV/atom
Density of states at the Fermi level: 11.48 states/eV/f.u.
Raw total energy: -11.127 eV/atom
Mass density: 3.521 g/cm³
Space group: R3, No. 146

```
V3Fe2NiP6O24
1.0
4.2688 2.4646 6.6713
-4.2688 2.4646 6.6713
0.0000 -4.9291 6.6713
V Fe Ni P O
3 2 1 6 24
Direct
0.0000 0.0000 0.0000
0.2192 0.2192 0.2192
0.5003 0.5003 0.5003
0.3548 0.3548 0.3548
0.8566 0.8566 0.8566
0.7203 0.7203 0.7203
0.1116 0.8176 0.4001
0.3192 0.6141 0.8992
0.4001 0.1116 0.8176
0.6141 0.8992 0.3192
0.8176 0.4001 0.1116
0.8992 0.3192 0.6141
0.0429 0.8597 0.2377
0.1022 0.2902 0.4530
0.1155 0.7720 0.9125
0.1915 0.9768 0.3448
0.2377 0.0429 0.8597
0.2707 0.6162 0.4139
0.2902 0.4530 0.1022
0.3448 0.1915 0.9768
0.3596 0.5435 0.7380
0.4139 0.2707 0.6162
0.4530 0.1022 0.2902
0.4736 0.6771 0.8732
0.5435 0.7380 0.3596
0.5983 0.9563 0.8119
0.6162 0.4139 0.2707
0.6771 0.8732 0.4736
0.7380 0.3596 0.5435
0.7720 0.9125 0.1155
0.8119 0.5983 0.9563
0.8597 0.2377 0.0429
0.8732 0.4736 0.6771
0.9125 0.1155 0.7720
0.9563 0.8119 0.5983
0.9768 0.3448 0.1915
```

---

No. 4
This record from Alexandria via LeMat-Bulk describes Fe2NiOs at its PBEsol-relaxed geometry. The functional is meta-GGA SCAN.

Calculated values
Total magnetic moment: 4.99 μB/f.u.
E_form: 0.135 eV/atom
Density of states at the Fermi level: 3.91 states/eV/f.u.
Raw total energy: -30.943 eV/atom
Mass density: 13.226 g/cm³
Space group: P4/mmm, No. 123

```
Fe2NiOs
1.0
3.5596 0.0000 0.0000
0.0000 3.5596 0.0000
0.0000 0.0000 3.5731
Fe Ni Os
2 1 1
Direct
0.0000 0.5000 0.0000
0.5000 0.0000 0.0000
0.0000 0.0000 0.5000
0.5000 0.5000 0.5000
```

---

No. 5
This record from Alexandria via LeMat-Bulk describes Fe2NiP at its PBEsol-relaxed geometry. The functional is meta-GGA SCAN.

Calculated values
Total magnetic moment: 4.48 μB/f.u.
E_form: -0.366 eV/atom
Density of states at the Fermi level: 2.72 states/eV/f.u.
Raw total energy: -16.074 eV/atom
Mass density: 7.926 g/cm³
Space group: I-4, No. 82

```
Fe2NiP
1.0
-4.4246 4.4246 2.1549
4.4246 -4.4246 2.1549
4.4246 4.4246 -2.1549
Fe Ni P
8 4 4
Direct
0.0132 0.6216 0.6683
0.1242 0.3091 0.9724
0.3366 0.1518 0.0276
0.3784 0.0467 0.3915
0.6551 0.9868 0.6085
0.6909 0.6634 0.8152
0.8482 0.8758 0.1848
0.9533 0.3449 0.3317
0.0751 0.0309 0.6062
0.4246 0.4688 0.3938
0.5312 0.9249 0.9558
0.9691 0.5754 0.0442
0.2218 0.4704 0.6650
0.4432 0.7782 0.2486
0.5296 0.1946 0.7514
0.8054 0.5568 0.3350
```

---

No. 6
This record from Alexandria via LeMat-Bulk describes FeNiP2 at its PBEsol-relaxed geometry. The functional is meta-GGA SCAN.

Calculated values
Total magnetic moment: 0.00 μB/f.u.
E_form: -0.163 eV/atom
Density of states at the Fermi level: 2.67 states/eV/f.u.
Raw total energy: -13.938 eV/atom
Mass density: 6.334 g/cm³
Space group: Imm2, No. 44

```
FeNiP2
1.0
-1.2836 1.6564 5.4407
1.2836 -1.6564 5.4407
1.2836 1.6564 -5.4407
Fe Ni P
1 1 2
Direct
0.0000 0.0000 0.0000
0.2229 0.7229 0.5000
0.5706 0.5706 0.0000
0.8285 0.3285 0.5000
```

---

No. 7
This record from Alexandria via LeMat-Bulk describes Fe3Ni3P2 at its PBEsol-relaxed geometry. The functional is meta-GGA SCAN.

Calculated values
Total magnetic moment: 7.35 μB/f.u.
E_form: -0.395 eV/atom
Density of states at the Fermi level: 4.07 states/eV/f.u.
Raw total energy: -15.858 eV/atom
Mass density: 7.938 g/cm³
Space group: C2, No. 5

```
Fe3Ni3P2
1.0
6.2413 -2.1699 0.0000
6.2413 2.1699 0.0000
-6.2224 0.0000 6.2642
Fe Ni P
6 6 4
Direct
0.0775 0.0775 0.4712
0.3554 0.4314 0.3172
0.5686 0.6446 0.6828
0.6196 0.1062 0.8296
0.8938 0.3804 0.1704
0.9225 0.9225 0.5288
0.1791 0.7569 0.1044
0.1999 0.2380 0.8884
0.2431 0.8209 0.8956
0.3136 0.3488 0.5508
0.6512 0.6864 0.4492
0.7620 0.8001 0.1116
0.0386 0.5405 0.7417
0.4595 0.9614 0.2583
0.6669 0.2349 0.1577
0.7651 0.3331 0.8423
```

---

No. 8
This record from Alexandria via LeMat-Bulk describes FeNi2P at its PBEsol-relaxed geometry. The functional is meta-GGA SCAN.

Calculated values
Total magnetic moment: 2.96 μB/f.u.
E_form: -0.205 eV/atom
Density of states at the Fermi level: 2.37 states/eV/f.u.
Raw total energy: -15.423 eV/atom
Mass density: 8.057 g/cm³
Space group: Immm, No. 71

```
FeNi2P
1.0
-1.3792 1.9186 3.9766
1.3792 -1.9186 3.9766
1.3792 1.9186 -3.9766
Fe Ni P
1 2 1
Direct
0.0000 0.0000 0.0000
0.2815 0.7815 0.5000
0.7185 0.2185 0.5000
0.5000 0.5000 0.0000
```